# 1
This record from the Alexandria database describes a geometry-optimized Dy2InBi structure. The functional is PBE.

Total moment: 0.0 μB per cell
D(E_F): 0.55 states/eV per atom
Uncorrected energy: -52.55 eV/cell
ρ: 8.5 g/cm3
ΔE to the lowest computed polymorph: 0.55 eV per formula unit
Formation energy from the elements: -0.42 eV/atom

Cell: 4.1721 4.1721 25.1174 Å, 90.00 90.00 120.00°
Space group R3m (No. 160, hexagonal axes)
Unique sites:
1 Dy 0.0000 0.0000 0.0000 (multiplicity 3)
2 Dy 0.0000 0.0000 0.1775 (multiplicity 3)
3 In 0.0000 0.0000 0.7559 (multiplicity 3)
4 Bi 0.0000 0.0000 0.5877 (multiplicity 3)

# 2
This record from the Alexandria database describes a geometry-optimized DyIn2Bi structure. The functional is PBE.

Total moment: 0.0 μB per cell
D(E_F): 0.93 states/eV per atom
Uncorrected energy: -40.21 eV/cell
ρ: 8.0 g/cm3
Formation energy from the elements: 0.14 eV/atom

Cell: 3.4731 3.4731 35.9436 Å, 90.00 90.00 120.00°
Space group R-3m (No. 166, hexagonal axes)
Unique sites:
1 Dy 0.0000 0.0000 0.0000 (multiplicity 3)
2 In 0.0000 0.0000 0.0884 (multiplicity 6)
3 Bi 0.0000 0.0000 0.5000 (multiplicity 3)

# 3
This record from the Alexandria database describes a geometry-optimized Na2DyInBi2 structure. The functional is PBE.

Total moment: 0.0 μB per cell
D(E_F): 0.44 states/eV per atom
Uncorrected energy: -39.66 eV/cell
ρ: 7.1 g/cm3
Formation energy from the elements: -0.35 eV/atom

Cell: 4.9101 10.1553 6.9713 Å, 90.00 90.00 90.00°
Space group Pmc2_1 (No. 26)
Unique sites:
1 Na 0.0000 0.0073 0.0000 (multiplicity 2)
2 Na 0.5000 0.1547 0.2617 (multiplicity 2)
3 Dy 0.5000 0.4874 0.9493 (multiplicity 2)
4 In 0.0000 0.3469 0.6723 (multiplicity 2)
5 Bi 0.0000 0.3391 0.2007 (multiplicity 2)
6 Bi 0.5000 0.1752 0.7469 (multiplicity 2)

# 4
This record from the Alexandria database describes a geometry-optimized DyInBi2O6 structure. The functional is PBE.

Total moment: 0.0 μB per cell
D(E_F): 0.00 states/eV per atom
Uncorrected energy: -127.00 eV/cell
ρ: 8.9 g/cm3
Formation energy without anion corrections: -1.87 eV per atom

Cell: 5.7388 6.1691 10.1250 Å, 90.00 124.51 90.00°
Space group P2_1/c (No. 14)
Unique sites:
1 Dy 0.0000 0.0000 0.0000 (multiplicity 2)
2 In 0.5000 0.0000 0.5000 (multiplicity 2)
3 Bi 0.2363 0.0389 0.7478 (multiplicity 4)
4 O 0.1133 0.1792 0.4390 (multiplicity 4)
5 O 0.2682 0.6866 0.4352 (multiplicity 4)
6 O 0.3929 0.0532 0.2546 (multiplicity 4)

# 5
This record from the Alexandria database describes a geometry-optimized DyIn2BiO6 structure. The functional is PBE.

Total moment: 0.0 μB per cell
D(E_F): 0.00 states/eV per atom
Uncorrected energy: -189.50 eV/cell
ρ: 8.0 g/cm3
Formation energy without anion corrections: -1.95 eV per atom

Cell: 5.7852 5.7852 14.9472 Å, 90.00 90.00 120.00°
Space group R3 (No. 146, hexagonal axes)
Unique sites:
1 Dy 0.0000 0.0000 0.0000 (multiplicity 3)
2 In 0.0000 0.0000 0.2165 (multiplicity 3)
3 In 0.0000 0.0000 0.7168 (multiplicity 3)
4 Bi 0.0000 0.0000 0.4982 (multiplicity 3)
5 O 0.0495 0.6863 0.2786 (multiplicity 9)
6 O 0.0707 0.3653 0.7782 (multiplicity 9)

# 6
This record from the Alexandria database describes a geometry-optimized PmDyInBi structure. The functional is PBE.

Total moment: 0.0 μB per cell
D(E_F): 0.92 states/eV per atom
Uncorrected energy: -71.40 eV/cell
ρ: 9.0 g/cm3
Formation energy from the elements: -0.47 eV/atom

Cell: 7.7531 7.7531 7.7531 Å, 90.00 90.00 90.00°
Space group F-43m (No. 216)
Unique sites:
1 Pm 0.0000 0.0000 0.0000 (multiplicity 4)
2 Dy 0.0000 0.0000 0.5000 (multiplicity 4)
3 In 0.2500 0.2500 0.7500 (multiplicity 4)
4 Bi 0.2500 0.2500 0.2500 (multiplicity 4)

# 7
This record from the Alexandria database describes a geometry-optimized Dy4InBiTe2 structure. The functional is PBE.

Total moment: 0.0 μB per cell
D(E_F): 0.35 states/eV per atom
Uncorrected energy: -38.97 eV/cell
ρ: 8.4 g/cm3
Formation energy without anion corrections: -0.96 eV per atom

Cell: 7.6834 4.3154 7.6944 Å, 90.00 108.62 90.00°
Space group P2/m (No. 10)
Unique sites:
1 Dy 0.2422 0.0000 0.2546 (multiplicity 2)
2 Dy 0.2446 0.5000 0.7451 (multiplicity 2)
3 In 0.0000 0.0000 0.5000 (multiplicity 1)
4 Bi 0.0000 0.5000 0.0000 (multiplicity 1)
5 Te 0.5000 0.0000 0.0000 (multiplicity 1)
6 Te 0.5000 0.5000 0.5000 (multiplicity 1)

# 8
This record from the Alexandria database describes a geometry-optimized DyIn2BiTe4 structure. The functional is PBE.

Total moment: 0.0 μB per cell
D(E_F): 0.02 states/eV per atom
Uncorrected energy: -31.33 eV/cell
ρ: 6.7 g/cm3
Formation energy without anion corrections: -0.60 eV per atom

Cell: 7.8318 4.4906 8.3059 Å, 90.00 108.19 90.00°
Space group P2/m (No. 10)
Unique sites:
1 Dy 0.0000 0.0000 0.0000 (multiplicity 1)
2 In 0.0000 0.5000 0.5000 (multiplicity 1)
3 In 0.5000 0.0000 0.5000 (multiplicity 1)
4 Bi 0.5000 0.5000 0.0000 (multiplicity 1)
5 Te 0.2341 0.5000 0.2229 (multiplicity 2)
6 Te 0.2501 0.0000 0.7721 (multiplicity 2)

# 9
This record from the Alexandria database describes a geometry-optimized DyTm5In2Bi structure. The functional is PBE.

Total moment: 0.0 μB per cell
D(E_F): 1.22 states/eV per atom
Uncorrected energy: -147.32 eV/cell
ρ: 9.4 g/cm3
Formation energy from the elements: -0.06 eV/atom

Cell: 8.5484 8.5484 14.0418 Å, 90.00 90.00 90.00°
Space group I4/mcm (No. 140)
Unique sites:
1 Dy 0.0000 0.5000 0.2500 (multiplicity 4)
2 Tm 0.0000 0.0000 0.0000 (multiplicity 4)
3 Tm 0.2081 0.2919 0.1316 (multiplicity 16)
4 In 0.1107 0.3893 0.5000 (multiplicity 8)
5 Bi 0.0000 0.0000 0.2500 (multiplicity 4)

# 10
This record from the Alexandria database describes a geometry-optimized Dy4BiIr structure. The functional is PBE.

Total moment: 0.0 μB per cell
D(E_F): 0.91 states/eV per atom
Uncorrected energy: -139.68 eV/cell
ρ: 10.2 g/cm3
ΔE to the lowest computed polymorph: 0.23 eV per formula unit
Formation energy from the elements: -0.63 eV/atom

Cell: 9.0275 13.5296 6.1001 Å, 90.00 113.48 90.00°
Space group C2/c (No. 15)
Unique sites:
1 Dy 0.1111 0.1703 0.0697 (multiplicity 8)
2 Dy 0.2236 0.4276 0.3462 (multiplicity 8)
3 Bi 0.0000 0.3738 0.7500 (multiplicity 4)
4 Ir 0.0000 0.9999 0.2500 (multiplicity 4)

# 11
This record from the Alexandria database describes a geometry-optimized Dy4Bi5Ir structure. The functional is PBE.

Total moment: 0.0 μB per cell
D(E_F): 0.48 states/eV per atom
Uncorrected energy: -103.70 eV/cell
ρ: 10.0 g/cm3
Formation energy from the elements: -0.52 eV/atom

Cell: 17.9466 4.3405 8.4388 Å, 90.00 108.22 90.00°
Space group C2/m (No. 12)
Unique sites:
1 Dy 0.0401 0.0000 0.2268 (multiplicity 4)
2 Dy 0.1439 0.5000 0.9497 (multiplicity 4)
3 Bi 0.0000 0.5000 0.5000 (multiplicity 2)
4 Bi 0.1445 0.0000 0.6429 (multiplicity 4)
5 Bi 0.2175 0.0000 0.2365 (multiplicity 4)
6 Ir 0.0000 0.5000 0.0000 (multiplicity 2)

# 12
This record from the Alexandria database describes a geometry-optimized Dy5BiIr2 structure. The functional is PBE.

Total moment: 0.0 μB per cell
D(E_F): 0.85 states/eV per atom
Uncorrected energy: -203.02 eV/cell
ρ: 11.2 g/cm3
Formation energy from the elements: -0.77 eV/atom

Cell: 7.8375 7.8375 13.6081 Å, 90.00 90.00 90.00°
Space group I4/mcm (No. 140)
Unique sites:
1 Dy 0.0000 0.0000 0.0000 (multiplicity 4)
2 Dy 0.1561 0.3439 0.1310 (multiplicity 16)
3 Bi 0.0000 0.0000 0.2500 (multiplicity 4)
4 Ir 0.1403 0.3597 0.5000 (multiplicity 8)

Q: Which of these has the highest ρ?
A: Dy5BiIr2

Q: ρ of number 4 (DyInBi2O6)?
A: 8.9 g/cm3

Q: What is the ρ in the sixth record?
A: 9.0 g/cm3